Entry from the Alexandria database: an optimized crystal structure of Ba2BeFe (PBE-GGA).

Properties
- VASP energy (eV/atom) = -3.603
- E_form (eV per atom) = 0.406

abc: 4.199 4.199 9.016
angles: 76.34 76.34 60.03
Site moments in Bohr magnetons follow the coordinates.
Sites, in units of the cell vectors:
1 Be 0.542 0.542 0.375  -0.14
2 Ba 0.961 0.961 0.120  -0.08
3 Ba 0.789 0.789 0.630  -0.08
4 Fe 0.208 0.208 0.375  2.30